Record 1
Sr5As3O12F PBE relaxed; final energy = -269.73 eV for the cell shown
1.0
-4.002 8.775 -3.200
-1.145 -2.876 9.678
6.346 3.553 1.807
As F O Sr
6 2 24 10
direct
0.399 0.369 0.250 As
0.631 0.030 0.250 As
0.970 0.601 0.250 As
0.601 0.631 0.750 As
0.369 0.970 0.750 As
0.030 0.399 0.750 As
0.000 0.000 0.250 F
0.000 0.000 0.750 F
0.321 0.486 0.250 O
0.514 0.836 0.250 O
0.164 0.679 0.250 O
0.679 0.514 0.750 O
0.486 0.164 0.750 O
0.836 0.321 0.750 O
0.595 0.470 0.250 O
0.530 0.125 0.250 O
0.875 0.405 0.250 O
0.405 0.530 0.750 O
0.470 0.875 0.750 O
0.125 0.595 0.750 O
0.343 0.251 0.066 O
0.749 0.091 0.066 O
0.909 0.657 0.066 O
0.657 0.749 0.566 O
0.251 0.909 0.566 O
0.091 0.343 0.566 O
0.657 0.749 0.934 O
0.251 0.909 0.934 O
0.091 0.343 0.934 O
0.343 0.251 0.434 O
0.749 0.091 0.434 O
0.909 0.657 0.434 O
0.333 0.667 0.001 Sr
0.667 0.333 0.501 Sr
0.667 0.333 0.999 Sr
0.333 0.667 0.499 Sr
0.241 0.993 0.250 Sr
0.007 0.248 0.250 Sr
0.752 0.759 0.250 Sr
0.759 0.007 0.750 Sr
0.993 0.752 0.750 Sr
0.248 0.241 0.750 Sr

---

Record 2
Tb5Pr4Ag PBE relaxed; formation energy from the elements = -43 meV/atom
1.0
-1.582 2.221 -2.413
-0.373 -2.784 -2.318
-21.710 -5.062 9.570
Tb Pr Ag
5 4 1
direct
0.500 0.500 0.076 Tb
0.500 0.500 0.288 Tb
0.500 0.500 0.500 Tb
0.500 0.500 0.712 Tb
0.500 0.500 0.924 Tb
0.000 0.000 0.183 Pr
0.000 0.000 0.394 Pr
0.000 0.000 0.606 Pr
0.000 0.000 0.817 Pr
0.000 0.000 0.000 Ag

---

Record 3
TaNb PBE relaxed; excess energy over the best structure of this formula in the dataset = 386 meV/atom; formation energy from the elements = 376 meV/atom
1.0
-3.947 6.283 -3.366
-5.277 -5.162 -3.448
-2.788 0.296 3.824
Ta Nb
8 8
direct
0.700 0.368 0.500 Ta
0.300 0.632 0.500 Ta
0.632 0.700 0.500 Ta
0.368 0.300 0.500 Ta
0.821 0.536 0.000 Ta
0.179 0.464 0.000 Ta
0.464 0.821 0.000 Ta
0.536 0.179 0.000 Ta
0.967 0.677 0.500 Nb
0.033 0.323 0.500 Nb
0.323 0.967 0.500 Nb
0.677 0.033 0.500 Nb
0.873 0.201 0.000 Nb
0.127 0.799 0.000 Nb
0.799 0.873 0.000 Nb
0.201 0.127 0.000 Nb

---

no.,D(E_F) (states/eV/cell)
1,0.00
2,13.15
3,22.70